# 1
# Tl6SeO2 (PBE, optimized geometry)
data_Tl6SeO2
_chemical_formula_sum 'Tl24 Se4 O8'
_cell_length_a 13.4012
_cell_length_b 12.0877
_cell_length_c 6.5822
_cell_angle_alpha 90.00
_cell_angle_beta 109.10
_cell_angle_gamma 90.00
_space_group_name_H-M_alt 'C 1 2/c 1'
_space_group_IT_number 15
loop_
_space_group_symop_operation_xyz
'x,y,z'
'-x,-y,-z'
'-x,y,-z+1/2'
'x,-y,z+1/2'
'x+1/2,y+1/2,z'
'-x+1/2,-y+1/2,-z'
'-x+1/2,y+1/2,-z+1/2'
'x+1/2,-y+1/2,z+1/2'
loop_
_atom_site_label
_atom_site_type_symbol
_atom_site_fract_x
_atom_site_fract_y
_atom_site_fract_z
Tl1 Tl 0.0769 0.1353 0.0591
Tl2 Tl 0.1210 0.3842 0.7228
Tl3 Tl 0.2331 0.1275 0.6844
Se1 Se 0.0000 0.3524 0.2500
O1 O 0.2155 0.0554 0.3378
# raw total energy	-3.53	eV per atom
# formation energy (no corrections)	-4.21	eV/f.u.


# 2
# NbSn3Br (PBE, optimized geometry)
data_NbSn3Br
_chemical_formula_sum 'Nb1 Sn3 Br1'
_cell_length_a 5.4362
_cell_length_b 5.4362
_cell_length_c 5.4362
_cell_angle_alpha 90.00
_cell_angle_beta 90.00
_cell_angle_gamma 90.00
_space_group_name_H-M_alt 'P m -3 m'
_space_group_IT_number 221
_space_group_name_Hall '-P 4 2 3'
loop_
_atom_site_label
_atom_site_type_symbol
_atom_site_fract_x
_atom_site_fract_y
_atom_site_fract_z
Nb1 Nb 0.0000 0.0000 0.0000
Sn1 Sn 0.0000 0.5000 0.5000
Br1 Br 0.5000 0.5000 0.5000
# DOS at the Fermi energy	6.5	states/eV/f.u.
# polymorph energy (0 for the lowest one)	1013	meV/atom
# raw total energy	-3.57	eV per atom
# formation energy (no corrections)	5.90	eV/f.u.


# 3
# BeFeIr3 (PBE, optimized geometry)
data_BeFeIr3
_chemical_formula_sum 'Be1 Fe1 Ir3'
_cell_length_a 4.0649
_cell_length_b 4.0649
_cell_length_c 4.0649
_cell_angle_alpha 90.00
_cell_angle_beta 90.00
_cell_angle_gamma 90.00
_space_group_name_H-M_alt 'P m -3 m'
_space_group_IT_number 221
_space_group_name_Hall '-P 4 2 3'
loop_
_atom_site_label
_atom_site_type_symbol
_atom_site_fract_x
_atom_site_fract_y
_atom_site_fract_z
Be1 Be 0.0000 0.0000 0.0000
Fe1 Fe 0.5000 0.5000 0.5000
Ir1 Ir 0.0000 0.0000 0.5000
# DOS at the Fermi energy	7.9	states/eV/f.u.
# formation energy	60	kJ/mol of atoms
# raw total energy	-7.13	eV per atom


# 4
# Ac2PuSn (PBE, optimized geometry)
data_Ac2PuSn
_chemical_formula_sum 'Ac2 Pu1 Sn1'
_cell_length_a 4.3241
_cell_length_b 4.3241
_cell_length_c 7.4875
_cell_angle_alpha 90.00
_cell_angle_beta 90.00
_cell_angle_gamma 90.00
_space_group_name_H-M_alt 'P 4/m m m'
_space_group_IT_number 123
_space_group_name_Hall '-P 4 2'
loop_
_atom_site_label
_atom_site_type_symbol
_atom_site_fract_x
_atom_site_fract_y
_atom_site_fract_z
Ac1 Ac 0.0000 0.0000 0.2325
Pu1 Pu 0.5000 0.5000 0.5000
Sn1 Sn 0.5000 0.5000 0.0000
# DOS at the Fermi energy	13.3	states/eV/f.u.
# formation energy	-14	kJ/mol of atoms
# polymorph energy (0 for the lowest one)	67	meV/atom
# raw total energy	-6.78	eV per atom


What did the second record say?
# NbSn3Br (PBE, optimized geometry)
data_NbSn3Br
_chemical_formula_sum 'Nb1 Sn3 Br1'
_cell_length_a 5.4362
_cell_length_b 5.4362
_cell_length_c 5.4362
_cell_angle_alpha 90.00
_cell_angle_beta 90.00
_cell_angle_gamma 90.00
_space_group_name_H-M_alt 'P m -3 m'
_space_group_IT_number 221
_space_group_name_Hall '-P 4 2 3'
loop_
_atom_site_label
_atom_site_type_symbol
_atom_site_fract_x
_atom_site_fract_y
_atom_site_fract_z
Nb1 Nb 0.0000 0.0000 0.0000
Sn1 Sn 0.0000 0.5000 0.5000
Br1 Br 0.5000 0.5000 0.5000
# DOS at the Fermi energy	6.5	states/eV/f.u.
# polymorph energy (0 for the lowest one)	1013	meV/atom
# raw total energy	-3.57	eV per atom
# formation energy (no corrections)	5.90	eV/f.u.